(1)
# SrY8 (SCAN, single point on PBEsol structure)
# Theoretical density ... 4.609 g/cm³
# Space group ... I4/mmm
# Energy of formation ... 0.125 eV per atom
# E_tot ... -27.100 eV per atom
data_SrY8
_cell_length_a 5.037
_cell_length_b 7.968
_cell_length_c 7.968
_cell_angle_alpha 84.27
_cell_angle_beta 71.58
_cell_angle_gamma 71.58
_symmetry_space_group_name_H-M 'P 1'
_symmetry_Int_Tables_number 1
_symmetry_space_group_name_Hall 'P 1'
loop_
_atom_site_label
_atom_site_type_symbol
_atom_site_fract_x
_atom_site_fract_y
_atom_site_fract_z
_atom_site_occupancy
Y1 Y 0.340 0.660 0.660 1
Y2 Y 0.326 0.348 0.000 1
Y3 Y 0.660 0.340 0.340 1
Y4 Y 0.000 0.660 0.340 1
Y5 Y 0.674 0.000 0.652 1
Y6 Y 0.674 0.652 0.000 1
Y7 Y 0.326 0.000 0.348 1
Y8 Y 0.000 0.340 0.660 1
Sr1 Sr 0.000 0.000 0.000 1

=====

(2)
# Sr3Y (SCAN, single point on PBEsol structure)
# Theoretical density ... 3.366 g/cm³
# Space group ... Cmmm
# Energy of formation ... 0.170 eV per atom
# E_tot ... -23.497 eV per atom
data_Sr3Y
_cell_length_a 3.831
_cell_length_b 3.831
_cell_length_c 12.590
_cell_angle_alpha 90.00
_cell_angle_beta 90.00
_cell_angle_gamma 110.09
_symmetry_space_group_name_H-M 'P 1'
_symmetry_Int_Tables_number 1
_symmetry_space_group_name_Hall 'P 1'
loop_
_atom_site_label
_atom_site_type_symbol
_atom_site_fract_x
_atom_site_fract_y
_atom_site_fract_z
_atom_site_occupancy
Sr1 Sr 0.500 0.500 0.000 1
Sr2 Sr 0.000 0.000 0.268 1
Sr3 Sr 0.000 0.000 0.732 1
Y1 Y 0.500 0.500 0.500 1

=====

(3)
# SrY2 (SCAN, single point on PBEsol structure)
# Theoretical density ... 4.116 g/cm³
# Space group ... Cmcm
# Energy of formation ... 0.140 eV per atom
# E_tot ... -25.847 eV per atom
data_SrY2
_cell_length_a 3.661
_cell_length_b 5.787
_cell_length_c 10.275
_cell_angle_alpha 90.00
_cell_angle_beta 100.26
_cell_angle_gamma 90.00
_symmetry_space_group_name_H-M 'P 1'
_symmetry_Int_Tables_number 1
_symmetry_space_group_name_Hall 'P 1'
loop_
_atom_site_label
_atom_site_type_symbol
_atom_site_fract_x
_atom_site_fract_y
_atom_site_fract_z
_atom_site_occupancy
Y1 Y 0.100 0.750 0.200 1
Y2 Y 0.454 0.750 0.907 1
Y3 Y 0.546 0.250 0.093 1
Y4 Y 0.900 0.250 0.800 1
Sr1 Sr 0.788 0.750 0.577 1
Sr2 Sr 0.212 0.250 0.423 1

=====

(4)
# SrYZn2 (SCAN, single point on PBEsol structure)
# Theoretical density ... 5.371 g/cm³
# Space group ... Imm2
# Energy of formation ... -0.158 eV per atom
# E_tot ... -19.446 eV per atom
data_SrYZn2
_cell_length_a 3.495
_cell_length_b 5.158
_cell_length_c 6.123
_cell_angle_alpha 114.91
_cell_angle_beta 106.58
_cell_angle_gamma 90.00
_symmetry_space_group_name_H-M 'P 1'
_symmetry_Int_Tables_number 1
_symmetry_space_group_name_Hall 'P 1'
loop_
_atom_site_label
_atom_site_type_symbol
_atom_site_fract_x
_atom_site_fract_y
_atom_site_fract_z
_atom_site_occupancy
Zn1 Zn 0.969 0.969 0.938 1
Zn2 Zn 0.291 0.791 0.581 1
Y1 Y 0.719 0.219 0.438 1
Sr1 Sr 0.521 0.521 0.042 1

=====

(5)
# SrYZn (SCAN, single point on PBEsol structure)
# Theoretical density ... 4.224 g/cm³
# Space group ... F-43m
# Energy of formation ... 0.100 eV per atom
# E_tot ... -21.111 eV per atom
data_SrYZn
_cell_length_a 5.124
_cell_length_b 5.124
_cell_length_c 5.124
_cell_angle_alpha 60.00
_cell_angle_beta 60.00
_cell_angle_gamma 60.00
_symmetry_space_group_name_H-M 'P 1'
_symmetry_Int_Tables_number 1
_symmetry_space_group_name_Hall 'P 1'
loop_
_atom_site_label
_atom_site_type_symbol
_atom_site_fract_x
_atom_site_fract_y
_atom_site_fract_z
_atom_site_occupancy
Sr1 Sr 0.000 0.000 0.000 1
Zn1 Zn 0.250 0.250 0.250 1
Y1 Y 0.500 0.500 0.500 1

=====

(6)
# Sr2YZn2 (SCAN, single point on PBEsol structure)
# Theoretical density ... 4.372 g/cm³
# Space group ... I4/mmm
# Energy of formation ... 0.094 eV per atom
# E_tot ... -19.790 eV per atom
data_Sr2YZn2
_cell_length_a 4.851
_cell_length_b 4.851
_cell_length_c 7.239
_cell_angle_alpha 109.57
_cell_angle_beta 109.57
_cell_angle_gamma 90.00
_symmetry_space_group_name_H-M 'P 1'
_symmetry_Int_Tables_number 1
_symmetry_space_group_name_Hall 'P 1'
loop_
_atom_site_label
_atom_site_type_symbol
_atom_site_fract_x
_atom_site_fract_y
_atom_site_fract_z
_atom_site_occupancy
Sr1 Sr 0.750 0.250 0.500 1
Sr2 Sr 0.250 0.750 0.500 1
Y1 Y 0.000 0.000 0.000 1
Zn1 Zn 0.591 0.591 0.182 1
Zn2 Zn 0.409 0.409 0.818 1

=====

(7)
# SrY3Zn (SCAN, single point on PBEsol structure)
# Theoretical density ... 4.149 g/cm³
# Space group ... Pm-3m
# Energy of formation ... 0.064 eV per atom
# E_tot ... -23.800 eV per atom
data_SrY3Zn
_cell_length_a 5.518
_cell_length_b 5.518
_cell_length_c 5.518
_cell_angle_alpha 90.00
_cell_angle_beta 90.00
_cell_angle_gamma 90.00
_symmetry_space_group_name_H-M 'P 1'
_symmetry_Int_Tables_number 1
_symmetry_space_group_name_Hall 'P 1'
loop_
_atom_site_label
_atom_site_type_symbol
_atom_site_fract_x
_atom_site_fract_y
_atom_site_fract_z
_atom_site_occupancy
Y1 Y 0.500 0.000 0.000 1
Y2 Y 0.000 0.000 0.500 1
Y3 Y 0.000 0.500 0.000 1
Zn1 Zn 0.000 0.000 0.000 1
Sr1 Sr 0.500 0.500 0.500 1

=====

(8)
# SrYZn2 (SCAN, single point on PBEsol structure)
# Theoretical density ... 5.204 g/cm³
# Space group ... P4/mmm
# Energy of formation ... -0.331 eV per atom
# E_tot ... -19.618 eV per atom
data_SrYZn2
_cell_length_a 3.670
_cell_length_b 3.670
_cell_length_c 7.279
_cell_angle_alpha 90.00
_cell_angle_beta 90.00
_cell_angle_gamma 90.00
_symmetry_space_group_name_H-M 'P 1'
_symmetry_Int_Tables_number 1
_symmetry_space_group_name_Hall 'P 1'
loop_
_atom_site_label
_atom_site_type_symbol
_atom_site_fract_x
_atom_site_fract_y
_atom_site_fract_z
_atom_site_occupancy
Zn1 Zn 0.000 0.000 0.209 1
Zn2 Zn 0.000 0.000 0.791 1
Sr1 Sr 0.500 0.500 0.500 1
Y1 Y 0.500 0.500 0.000 1

=====

(9)
# SrYZr3 (SCAN, single point on PBEsol structure)
# Theoretical density ... 5.434 g/cm³
# Space group ... Pm-3m
# Energy of formation ... 1.498 eV per atom
# E_tot ... -26.945 eV per atom
data_SrYZr3
_cell_length_a 5.162
_cell_length_b 5.162
_cell_length_c 5.162
_cell_angle_alpha 90.00
_cell_angle_beta 90.00
_cell_angle_gamma 90.00
_symmetry_space_group_name_H-M 'P 1'
_symmetry_Int_Tables_number 1
_symmetry_space_group_name_Hall 'P 1'
loop_
_atom_site_label
_atom_site_type_symbol
_atom_site_fract_x
_atom_site_fract_y
_atom_site_fract_z
_atom_site_occupancy
Zr1 Zr 0.000 0.500 0.000 1
Zr2 Zr 0.000 0.000 0.500 1
Zr3 Zr 0.500 0.000 0.000 1
Y1 Y 0.500 0.500 0.500 1
Sr1 Sr 0.000 0.000 0.000 1

=====

(10)
# Sr5Zn3 (SCAN, single point on PBEsol structure)
# Theoretical density ... 3.845 g/cm³
# Space group ... I4/mcm
# Energy of formation ... -0.091 eV per atom
# E_tot ... -19.081 eV per atom
data_Sr5Zn3
_cell_length_a 6.803
_cell_length_b 9.598
_cell_length_c 9.598
_cell_angle_alpha 82.79
_cell_angle_beta 69.24
_cell_angle_gamma 69.24
_symmetry_space_group_name_H-M 'P 1'
_symmetry_Int_Tables_number 1
_symmetry_space_group_name_Hall 'P 1'
loop_
_atom_site_label
_atom_site_type_symbol
_atom_site_fract_x
_atom_site_fract_y
_atom_site_fract_z
_atom_site_occupancy
Sr1 Sr 0.919 0.291 0.871 1
Sr2 Sr 0.581 0.129 0.709 1
Sr3 Sr 0.710 0.709 0.871 1
Sr4 Sr 0.419 0.871 0.291 1
Sr5 Sr 0.081 0.709 0.129 1
Sr6 Sr 0.210 0.871 0.709 1
Sr7 Sr 0.750 0.500 0.500 1
Sr8 Sr 0.250 0.500 0.500 1
Sr9 Sr 0.790 0.129 0.291 1
Sr10 Sr 0.290 0.291 0.129 1
Zn1 Zn 0.750 0.000 0.000 1
Zn2 Zn 0.659 0.500 0.183 1
Zn3 Zn 0.250 0.000 0.000 1
Zn4 Zn 0.159 0.183 0.500 1
Zn5 Zn 0.341 0.500 0.817 1
Zn6 Zn 0.841 0.817 0.500 1

=====

(11)
# SrZn2 (SCAN, single point on PBEsol structure)
# Theoretical density ... 4.828 g/cm³
# Space group ... Cm
# Energy of formation ... -0.195 eV per atom
# E_tot ... -16.630 eV per atom
data_SrZn2
_cell_length_a 4.396
_cell_length_b 6.004
_cell_length_c 6.420
_cell_angle_alpha 106.41
_cell_angle_beta 90.00
_cell_angle_gamma 111.47
_symmetry_space_group_name_H-M 'P 1'
_symmetry_Int_Tables_number 1
_symmetry_space_group_name_Hall 'P 1'
loop_
_atom_site_label
_atom_site_type_symbol
_atom_site_fract_x
_atom_site_fract_y
_atom_site_fract_z
_atom_site_occupancy
Sr1 Sr 0.325 0.650 0.390 1
Sr2 Sr 0.967 0.933 0.963 1
Zn1 Zn 0.246 0.492 0.865 1
Zn2 Zn 0.062 0.123 0.514 1
Zn3 Zn 0.635 0.270 0.762 1
Zn4 Zn 0.599 0.198 0.340 1

=====

(12)
# SrZn (SCAN, single point on PBEsol structure)
# Theoretical density ... 4.641 g/cm³
# Space group ... C2/m
# Energy of formation ... -0.140 eV per atom
# E_tot ... -18.035 eV per atom
data_SrZn
_cell_length_a 3.722
_cell_length_b 5.394
_cell_length_c 6.373
_cell_angle_alpha 115.26
_cell_angle_beta 106.98
_cell_angle_gamma 90.00
_symmetry_space_group_name_H-M 'P 1'
_symmetry_Int_Tables_number 1
_symmetry_space_group_name_Hall 'P 1'
loop_
_atom_site_label
_atom_site_type_symbol
_atom_site_fract_x
_atom_site_fract_y
_atom_site_fract_z
_atom_site_occupancy
Sr1 Sr 0.902 0.651 0.803 1
Sr2 Sr 0.098 0.349 0.197 1
Zn1 Zn 0.331 0.080 0.662 1
Zn2 Zn 0.669 0.920 0.338 1